No. 1
Entry from Alexandria: a relaxed structure of CePrI (PBE).

Cell and atoms, written as POSCAR:
```
CePrI
1.0
5.691 0.000 0.000
-2.845 2.825 0.068
0.000 -0.731 13.025
I Pr Ce
2 2 2
Cartesian
2.845 0.986 8.328
0.000 1.107 4.766
0.000 0.922 9.997
2.845 1.172 3.097
2.845 0.434 12.377
0.000 1.660 0.717
```

Computed properties:
**E_form (uncorrected)**: -0.54 eV/atom
**Energy relative to the lowest polymorph listed for this composition**: 0.000 eV/atom
**Spin magnetization**: 0.9 μB/cell
**V**: 210 Å³/cell

No. 2
Entry from Alexandria: a relaxed structure of Pm2AlIr (PBE).

Cell and atoms, written as POSCAR:
```
Pm2AlIr
1.0
-2.356 -0.178 -3.088
3.561 -4.439 -2.460
-6.522 -3.382 5.170
Pm Ir Al
4 2 2
Cartesian
-1.405 -5.423 0.161
-3.911 -2.576 -0.539
1.620 -3.869 -2.236
-6.936 -4.130 1.858
-1.271 -4.090 -2.466
-4.045 -3.909 2.087
-0.673 -2.434 -0.570
-4.643 -5.565 0.192
```

Computed properties:
**Formation energy**: -0.60 eV per atom
**Energy relative to the lowest polymorph listed for this composition**: 0.000 eV/atom
**Spin magnetization**: 0.0 μB/cell
**V**: 201 Å³/cell

No. 3
Entry from Alexandria: a relaxed structure of KSnB (PBE).

Cell and atoms, written as POSCAR:
```
KSnB
1.0
-0.713 0.922 -5.403
-3.278 -3.706 -2.138
-3.477 6.499 -1.237
B Sn K
2 2 2
Cartesian
-3.125 -2.311 -4.418
-3.067 -2.198 -2.879
-3.754 -0.055 -3.741
-4.407 -1.830 -6.172
-3.930 5.025 -2.645
-3.947 2.569 -6.162
```

Computed properties:
**Formation energy**: 0.26 eV per atom
**Spin magnetization**: 0.0 μB/cell
**V**: 175 Å³/cell

No. 4
Entry from Alexandria: a relaxed structure of Pm2Be3AlAu4 (PBE).

Cell and atoms, written as POSCAR:
```
Pm2Be3AlAu4
1.0
-2.084 -1.108 -3.647
1.175 -4.141 0.586
-7.962 -1.548 5.020
Be Au Al Pm
3 4 1 2
Cartesian
-0.321 -2.247 0.866
-8.096 -1.925 2.624
-3.981 -0.774 2.510
-2.283 -2.629 2.103
-6.133 -1.544 1.387
-0.455 -2.624 -1.531
0.000 0.000 0.000
-4.436 -3.398 0.980
-3.025 -0.939 -0.574
-5.392 -3.233 4.063
```

Computed properties:
**Formation energy**: -0.52 eV per atom
**Spin magnetization**: 0.0 μB/cell
**V**: 180 Å³/cell

No. 5
Entry from Alexandria: a relaxed structure of TiGaTe2N (PBE).

Cell and atoms, written as POSCAR:
```
TiGaTe2N
1.0
-4.743 -0.882 -2.856
2.969 -0.768 -4.694
0.220 -3.471 0.707
Ga Te N Ti
1 2 1 1
Cartesian
0.000 0.000 0.000
-2.372 -0.441 -1.428
1.484 -0.384 -2.347
0.110 -1.736 0.353
-0.777 -2.560 -3.422
```

Computed properties:
**E_form (uncorrected)**: 0.58 eV/atom
**Energy relative to the lowest polymorph listed for this composition**: 0.657 eV/atom
**Spin magnetization**: 1.2 μB/cell
**V**: 112 Å³/cell

No. 6
Entry from Alexandria: a relaxed structure of ScTiN2F (PBE).

Cell and atoms, written as POSCAR:
```
ScTiN2F
1.0
3.979 0.000 0.000
0.000 3.979 0.000
0.000 0.000 3.734
N F Ti Sc
2 1 1 1
Cartesian
0.000 1.989 0.000
1.989 0.000 0.000
0.000 0.000 1.867
0.000 0.000 0.000
1.989 1.989 1.867
```

Computed properties:
**E_form (uncorrected)**: -1.40 eV/atom
**Energy relative to the lowest polymorph listed for this composition**: 0.000 eV/atom
**Spin magnetization**: 0.0 μB/cell
**V**: 59 Å³/cell

No. 7
Entry from Alexandria: a relaxed structure of Na3CuO2 (PBE).

Cell and atoms, written as POSCAR:
```
Na3CuO2
1.0
9.502 0.000 0.000
0.000 9.502 0.000
0.000 0.000 4.609
Na O Cu
12 8 4
Cartesian
9.300 6.217 2.304
4.549 8.036 0.000
6.217 9.300 2.304
0.202 3.285 2.304
4.953 1.466 0.000
6.144 6.144 2.304
8.036 4.549 0.000
8.109 1.393 0.000
1.466 4.953 0.000
3.285 0.202 2.304
3.358 3.358 2.304
1.393 8.109 0.000
7.626 4.437 2.304
2.875 0.314 0.000
1.876 5.065 2.304
0.314 2.875 0.000
9.188 6.627 0.000
4.437 7.626 2.304
5.065 1.876 2.304
6.627 9.188 0.000
3.127 6.375 2.304
1.624 1.624 0.000
7.878 7.878 0.000
6.375 3.127 2.304
```

Computed properties:
**E_form (uncorrected)**: -1.13 eV/atom
**Energy relative to the lowest polymorph listed for this composition**: 0.000 eV/atom
**Spin magnetization**: 0.0 μB/cell
**V**: 416 Å³/cell

No. 8
Entry from Alexandria: a relaxed structure of Zn2InPt (PBE).

Cell and atoms, written as POSCAR:
```
Zn2InPt
1.0
3.484 0.000 0.000
0.000 3.488 0.000
0.000 0.000 5.581
Zn Pt In
2 1 1
Cartesian
1.742 1.744 1.286
0.000 0.000 5.576
1.742 1.744 4.268
0.000 0.000 2.822
```

Computed properties:
**Formation energy**: -0.25 eV per atom
**Spin magnetization**: 0.0 μB/cell
**V**: 68 Å³/cell